(1)
# Th2SiTe

An optimized crystal structure of Th2SiTe (PBE, Alexandria).

Cell lengths 8.0366, 8.0366, 8.0366 Å; angles 30.60, 30.60, 30.60 degrees
Closest atoms and distances in Å follow each position.
Fractional coordinates of all 4 atoms:
Th1 0.0000 0.0000 0.0000  3 Si 2.91
Th2 0.1929 0.1929 0.1929  3 Si 2.95
Si1 0.5978 0.5978 0.5978  6 Th 2.91-2.95
Te1 0.4294 0.4294 0.4294  6 Th 3.30-3.31

Computed properties:
- Polymorph energy (0 for the lowest one): 15 meV/atom
- E_form (uncorrected): -0.962 eV per atom
- Space group: R3m, No. 160

***

(2)
# Th2SiTe

An optimized crystal structure of Th2SiTe (PBE, Alexandria).

Cell lengths 3.7138, 3.7138, 7.6505 Å; angles 90.00, 90.00, 90.00 degrees
Closest atoms and distances in Å follow each position.
Fractional coordinates of all 4 atoms:
Th1 0.0000 0.0000 0.2279  4 Si 3.15, 4 Te 3.35, 1 Th 3.49
Th2 0.0000 0.0000 0.7721  4 Si 3.15, 4 Te 3.35, 1 Th 3.49
Si1 0.5000 0.5000 0.0000  8 Th 3.15
Te1 0.5000 0.5000 0.5000  8 Th 3.35, 4 Te 3.71

Computed properties:
- Polymorph energy (0 for the lowest one): 223 meV/atom
- E_form (uncorrected): -0.753 eV per atom
- Space group: P4/mmm, No. 123

***

(3)
# Th4SiTe5

An optimized crystal structure of Th4SiTe5 (PBE, Alexandria).

Cell lengths 9.8566, 9.8566, 8.7789 Å; angles 102.64, 102.64, 25.65 degrees
Closest atoms and distances in Å follow each position.
Fractional coordinates of all 10 atoms:
Th1 0.0002 0.0002 0.2337  2 Si 3.00, 4 Te 3.14-3.20
Th2 0.9998 0.9998 0.7663  2 Si 3.00, 4 Te 3.14-3.20
Th3 0.3409 0.3409 0.9144  1 Si 2.98, 5 Te 3.11-3.21
Th4 0.6591 0.6591 0.0856  1 Si 2.98, 5 Te 3.11-3.21
Si1 0.5000 0.5000 0.0000  6 Th 2.98-3.00
Te1 0.1673 0.1673 0.3415  3 Th 3.11-3.14
Te2 0.1698 0.1698 0.8244  4 Th 3.19-3.21
Te3 0.5000 0.5000 0.5000  4 Th 3.20
Te4 0.8302 0.8302 0.1756  4 Th 3.19-3.21
Te5 0.8327 0.8327 0.6585  3 Th 3.11-3.14

Computed properties:
- E_form (uncorrected): -1.077 eV per atom
- Space group: C2/m, No. 12